YPPtCl2: optimized geometry, PBE.

## Properties
- Volume: 112 Å³/f.u.
- Energy relative to the lowest polymorph listed for this composition: 0 meV/atom
- E_form (uncorrected): -0.37 eV per atom
- Energy: -4.69 eV/atom
- Symmetry: P4/mmm, No. 123

a b c (Å): 4.7421 4.7421 4.9895
angles (deg): 90.00 90.00 90.00
Last column: nearest neighbours and their distance in Å.
Atoms (fractional coordinates):
Y 0.0000 0.0000 0.0000  4 P 3.35, 8 Cl 3.44
P 0.5000 0.5000 0.0000  2 Pt 2.49
Pt 0.5000 0.5000 0.5000  4 Cl 2.37, 2 P 2.49
Cl 0.0000 0.5000 0.5000  2 Pt 2.37
Cl 0.5000 0.0000 0.5000  2 Pt 2.37